(1)
First-principles (PBE-GGA) data for DyUTc after structural relaxation, as listed in OQMD via LeMat-Bulk.

Cell lengths 6.4898, 6.4898, 6.4898 Å; angles 90.00, 90.00, 90.00 degrees
With the nearest neighbours (Å) after each atom.
Space group F-43m (No. 216)
One atom of each set of equivalent atoms:
Dy 0.0000 0.0000 0.0000 x4  4 U 2.81
U 0.2500 0.2500 0.2500 x4  4 Dy 2.81, 4 Tc 2.81
Tc 0.0000 0.0000 0.5000 x4  4 U 2.81

Results
energy of formation from the pure elements = 2.91 eV/f.u.
final energy = -0.5720 Ry per atom
spin magnetization = 1.23 μB/f.u.


(2)
First-principles (PBE-GGA) data for Tc2Te2As after structural relaxation, as listed in OQMD via LeMat-Bulk.

Cell lengths 4.5460, 4.5460, 10.6045 Å; angles 90.00, 90.00, 90.00 degrees
With the nearest neighbours (Å) after each atom.
Space group I4/mmm (No. 139)
One atom of each set of equivalent atoms:
Tc 0.0000 0.5000 0.2500 x4  4 Te 2.58
Te 0.0000 0.0000 0.1342 x4  4 Tc 2.58, 1 Te 2.85
As 0.0000 0.0000 0.5000 x2  8 Tc 3.49, 10 Te 3.52-3.88

Results
final energy = -0.4241 Ry per atom
spin magnetization = 0.00 μB/f.u.


(3)
First-principles (PBE-GGA) data for SmTm2Bi3 after structural relaxation, as listed in OQMD via LeMat-Bulk.

Cell lengths 4.4764, 4.4764, 10.9572 Å; angles 90.00, 90.00, 120.00 degrees
With the nearest neighbours (Å) after each atom.
Space group P-3m1 (No. 164)
One atom of each set of equivalent atoms:
Sm 0.0000 0.0000 0.0000 x1  6 Bi 3.21
Tm 0.3333 0.6667 0.3355 x2  6 Bi 3.14-3.15
Bi 0.0000 0.0000 0.5000 x1  6 Tm 3.15
Bi 0.3333 0.6667 0.8269 x2  3 Tm 3.14, 3 Sm 3.21

Results
final energy = -0.3783 Ry per atom
spin magnetization = 0.00 μB/f.u.